(1)
## Ce2HoNpS4 (PBE-GGA)

Data for an optimized crystal structure of Ce2HoNpS4.

The value obtained for the volume is 21.87 Å³/atom. The formation energy from raw total energies is -180.5 kJ/mol of atoms.

The space group is P2/m (No. 10) and the conventional cell measures 6.852, 3.947 and 6.859 Å, with angles of 90.00, 109.45 and 90.00 degrees. The inequivalent atoms are Ce at (0.000, 0.000, 0.000), Ce at (0.500, 0.500, 0.000), Ho at (0.000, 0.500, 0.500), Np at (0.500, 0.000, 0.500), S at (0.244, 0.000, 0.739) and S at (0.252, 0.500, 0.261).

(2)
## SmAl2Cd (PBE-GGA)

Data for an optimized crystal structure of SmAl2Cd.

The value obtained for the volume is 21.86 Å³/atom. The offset from the most stable computed form is 0 meV per atom.

The space group is P4/mmm (No. 123) and the conventional cell measures 4.471, 4.471 and 4.374 Å, with angles of 90.00, 90.00 and 90.00 degrees. The inequivalent atoms are Sm at (0.000, 0.000, 0.000), Al at (0.000, 0.500, 0.500) and Cd at (0.500, 0.500, 0.000).

(3)
## Ho4ErPd4 (PBE-GGA)

Data for an optimized crystal structure of Ho4ErPd4.

The value obtained for the volume is 25.37 Å³/atom. Its total energy is -5.54 eV per atom.

The space group is P4_2/n (No. 86, origin choice 2) and the conventional cell measures 8.906, 8.906 and 5.758 Å, with angles of 90.00, 90.00 and 90.00 degrees. The inequivalent atoms are Ho at (0.069, 0.660, 0.160), Er at (0.250, 0.250, 0.250) and Pd at (0.030, 0.628, 0.656).

(4)
## B3P2 (PBE-GGA)

Data for an optimized crystal structure of B3P2.

The value obtained for the volume is 12.07 Å³/atom. The offset from the most stable computed form is 126 meV per atom.

The space group is P1 (No. 1) and the conventional cell measures 3.071, 4.208 and 5.081 Å, with angles of 102.04, 100.61 and 104.14 degrees. The inequivalent atoms are B at (0.000, 0.000, 0.000), B at (0.062, 0.689, 0.673), B at (0.502, 0.109, 0.925), P at (0.129, 0.919, 0.370) and P at (0.475, 0.411, 0.679).

(5)
## Ce2PmOs (PBE-GGA)

Data for an optimized crystal structure of Ce2PmOs.

The value obtained for the volume is 29.88 Å³/atom. The offset from the most stable computed form is 156 meV per atom.

The space group is R-3m (No. 166, hexagonal axes) and the conventional cell measures 3.9265, 3.9265 and 26.8529 Å, with angles of 90.00, 90.00 and 120.00 degrees. The inequivalent atoms are Ce at (0.0000, 0.0000, 0.2252), Pm at (0.0000, 0.0000, 0.0000) and Os at (0.0000, 0.0000, 0.5000).

(6)
## RbSrHfV2 (PBE-GGA)

Data for an optimized crystal structure of RbSrHfV2.

The value obtained for the volume is 27.86 Å³/atom. Its total energy is -3.97 eV per atom.

The space group is P4/mmm (No. 123) and the conventional cell measures 5.128, 5.128 and 5.298 Å, with angles of 90.00, 90.00 and 90.00 degrees. The inequivalent atoms are Rb at (0.000, 0.000, 0.000), Sr at (0.500, 0.500, 0.500), Hf at (0.000, 0.000, 0.500) and V at (0.000, 0.500, 0.000).

(7)
## K3Bi2Pd4 (PBE-GGA)

Data for an optimized crystal structure of K3Bi2Pd4.

The value obtained for the volume is 28.89 Å³/atom. Its total energy is -3.79 eV per atom.

The space group is C2/m (No. 12) and the conventional cell measures 12.342, 4.732 and 9.348 Å, with angles of 90.00, 107.75 and 90.00 degrees. The inequivalent atoms are K at (0.000, 0.000, 0.000), K at (0.129, 0.500, 0.372), Bi at (0.178, 0.500, 0.769), Pd at (0.082, 0.000, 0.638) and Pd at (0.244, 0.500, 0.079).

(8)
## BaZnNi (PBE-GGA)

Data for an optimized crystal structure of BaZnNi.

The value obtained for the volume is 22.92 Å³/atom. Its total energy is -2.92 eV per atom.

The space group is I4mm (No. 107) and the conventional cell measures 3.510, 3.510 and 11.161 Å, with angles of 90.00, 90.00 and 90.00 degrees. The inequivalent atoms are Ba at (0.000, 0.000, 0.000), Zn at (0.000, 0.000, 0.721) and Ni at (0.000, 0.000, 0.278).

no.,N(E_F) (states/eV/cell),spin magnetization (μB/cell)
1,14.4,5.22
2,2.1,0.00
3,13.9,0.00
4,1.3,0.00
5,23.0,0.00
6,6.1,4.93
7,8.8,0.00
8,5.2,0.00